{
  "formula": "Pb2IBr",
  "functional": "PBE",
  "state": "relaxed",
  "lattice": [[8.849, 0.000, 0.000], [0.000, 8.849, 0.000], [0.000, 0.000, 7.286]],
  "species": ["Pb", "Pb", "Pb", "Pb", "Pb", "Pb", "Pb", "Pb", "I", "I", "I", "I", "Br", "Br", "Br", "Br"],
  "frac_coords": [[0.237, 0.750, 0.125], [0.250, 0.237, 0.875], [0.250, 0.263, 0.375], [0.263, 0.750, 0.625], [0.737, 0.250, 0.625], [0.750, 0.737, 0.375], [0.750, 0.763, 0.875], [0.763, 0.250, 0.125], [0.000, 0.000, 0.500], [0.000, 0.500, 0.750], [0.500, 0.000, 0.250], [0.500, 0.500, 0.000], [0.000, 0.000, 0.000], [0.000, 0.500, 0.250], [0.500, 0.000, 0.750], [0.500, 0.500, 0.500]],
  "relative_energy_ev_per_atom": 0.000,
  "raw_formation_energy_mev_per_atom": -285
}

---

{
  "formula": "Pb2IBr2",
  "functional": "PBE",
  "state": "relaxed",
  "lattice": [[8.551, 0.000, 0.000], [0.000, 8.551, 0.000], [0.000, 0.000, 4.530]],
  "species": ["Pb", "Pb", "Pb", "Pb", "I", "I", "Br", "Br", "Br", "Br"],
  "frac_coords": [[0.144, 0.356, 0.000], [0.356, 0.856, 0.000], [0.644, 0.144, 0.000], [0.856, 0.644, 0.000], [0.000, 0.000, 0.000], [0.500, 0.500, 0.000], [0.154, 0.654, 0.500], [0.346, 0.154, 0.500], [0.654, 0.846, 0.500], [0.846, 0.346, 0.500]],
  "relative_energy_ev_per_atom": 0.000,
  "raw_formation_energy_mev_per_atom": -525
}

---

{
  "formula": "Pb2IBr2",
  "functional": "PBE",
  "state": "relaxed",
  "lattice": [[5.271, 0.000, 0.000], [0.000, 5.271, 0.000], [0.000, 0.000, 13.104]],
  "species": ["Pb", "Pb", "Pb", "Pb", "I", "I", "Br", "Br", "Br", "Br"],
  "frac_coords": [[0.000, 0.000, 0.130], [0.000, 0.000, 0.870], [0.500, 0.500, 0.370], [0.500, 0.500, 0.630], [0.000, 0.000, 0.500], [0.500, 0.500, 0.000], [0.000, 0.500, 0.250], [0.000, 0.500, 0.750], [0.500, 0.000, 0.250], [0.500, 0.000, 0.750]],
  "relative_energy_ev_per_atom": 0.043,
  "raw_formation_energy_mev_per_atom": -482
}

---

{
  "formula": "PbI2Br",
  "functional": "PBE",
  "state": "relaxed",
  "lattice": [[10.051, 0.000, 0.000], [0.000, 10.051, 0.000], [0.000, 0.000, 6.188]],
  "species": ["Pb", "Pb", "Pb", "Pb", "I", "I", "I", "I", "I", "I", "I", "I", "Br", "Br", "Br", "Br"],
  "frac_coords": [[0.000, 0.000, 0.000], [0.000, 0.500, 0.250], [0.500, 0.000, 0.750], [0.500, 0.500, 0.500], [0.214, 0.250, 0.125], [0.250, 0.714, 0.375], [0.250, 0.786, 0.875], [0.286, 0.250, 0.625], [0.714, 0.750, 0.625], [0.750, 0.214, 0.875], [0.750, 0.286, 0.375], [0.786, 0.750, 0.125], [0.000, 0.000, 0.500], [0.000, 0.500, 0.750], [0.500, 0.000, 0.250], [0.500, 0.500, 0.000]],
  "relative_energy_ev_per_atom": 0.000,
  "raw_formation_energy_mev_per_atom": -375
}

---

{
  "formula": "PbIBr5",
  "functional": "PBE",
  "state": "relaxed",
  "lattice": [[8.747, 0.000, 0.000], [-0.154, 8.751, 0.000], [-3.260, -3.313, 8.122]],
  "species": ["Pb", "Pb", "I", "I", "Br", "Br", "Br", "Br", "Br", "Br", "Br", "Br", "Br", "Br"],
  "frac_coords": [[0.000, 0.000, 0.000], [0.043, 0.957, 0.500], [0.433, 0.591, 0.812], [0.635, 0.390, 0.312], [0.194, 0.402, 0.803], [0.215, 0.854, 0.272], [0.236, 0.885, 0.794], [0.428, 0.599, 0.306], [0.445, 0.152, 0.303], [0.641, 0.384, 0.806], [0.682, 0.810, 0.795], [0.854, 0.639, 0.295], [0.896, 0.171, 0.771], [0.928, 0.193, 0.294]],
  "raw_formation_energy_mev_per_atom": -367
}

---

{
  "formula": "Pb2IBr",
  "functional": "PBE",
  "state": "relaxed",
  "lattice": [[8.013, 0.000, 0.000], [0.000, 8.013, 0.000], [0.000, 0.000, 8.013]],
  "species": ["Pb", "Pb", "Pb", "Pb", "Pb", "Pb", "Pb", "Pb", "I", "I", "I", "I", "Br", "Br", "Br", "Br"],
  "frac_coords": [[0.250, 0.250, 0.250], [0.250, 0.250, 0.750], [0.250, 0.750, 0.250], [0.250, 0.750, 0.750], [0.750, 0.250, 0.250], [0.750, 0.250, 0.750], [0.750, 0.750, 0.250], [0.750, 0.750, 0.750], [0.000, 0.000, 0.000], [0.000, 0.500, 0.500], [0.500, 0.000, 0.500], [0.500, 0.500, 0.000], [0.000, 0.000, 0.500], [0.000, 0.500, 0.000], [0.500, 0.000, 0.000], [0.500, 0.500, 0.500]],
  "relative_energy_ev_per_atom": 0.096,
  "raw_formation_energy_mev_per_atom": -189
}

---

{
  "formula": "RbPbIBr2",
  "functional": "PBE",
  "state": "relaxed",
  "lattice": [[5.965, 0.000, 0.000], [0.000, 5.965, 0.000], [0.000, 0.000, 6.399]],
  "species": ["Rb", "Pb", "I", "Br", "Br"],
  "frac_coords": [[0.000, 0.000, 0.000], [0.500, 0.500, 0.500], [0.500, 0.500, 0.000], [0.000, 0.500, 0.500], [0.500, 0.000, 0.500]],
  "raw_formation_energy_mev_per_atom": -1129
}

---

{
  "formula": "Rb3Pb2I2Br5",
  "functional": "PBE",
  "state": "relaxed",
  "lattice": [[-2.984, 2.984, 15.197], [2.984, -2.984, 15.197], [2.984, 2.984, -15.197]],
  "species": ["Rb", "Rb", "Rb", "Pb", "Pb", "I", "I", "Br", "Br", "Br", "Br", "Br"],
  "frac_coords": [[0.000, 0.000, 0.000], [0.175, 0.175, 0.000], [0.825, 0.825, 0.000], [0.400, 0.400, 0.000], [0.600, 0.600, 0.000], [0.296, 0.296, 0.000], [0.704, 0.704, 0.000], [0.096, 0.596, 0.500], [0.404, 0.904, 0.500], [0.500, 0.500, 0.000], [0.596, 0.096, 0.500], [0.904, 0.404, 0.500]],
  "raw_formation_energy_mev_per_atom": -1245
}

---

{
  "formula": "Rb2PbI3Br",
  "functional": "PBE",
  "state": "relaxed",
  "lattice": [[5.958, 0.000, 0.000], [0.000, 6.315, 0.000], [0.000, 0.000, 18.854]],
  "species": ["Rb", "Rb", "Rb", "Rb", "Pb", "Pb", "I", "I", "I", "I", "I", "I", "Br", "Br"],
  "frac_coords": [[0.000, 0.000, 0.137], [0.000, 0.000, 0.863], [0.500, 0.500, 0.363], [0.500, 0.500, 0.637], [0.000, 0.000, 0.500], [0.500, 0.500, 0.000], [0.000, 0.000, 0.329], [0.000, 0.000, 0.671], [0.000, 0.500, 0.500], [0.500, 0.000, 0.000], [0.500, 0.500, 0.171], [0.500, 0.500, 0.829], [0.000, 0.500, 0.000], [0.500, 0.000, 0.500]],
  "raw_formation_energy_mev_per_atom": -1167
}

---

{
  "formula": "Rb2PbI6Br",
  "functional": "PBE",
  "state": "relaxed",
  "lattice": [[-4.621, 4.621, 5.910], [4.621, -4.621, 5.910], [4.621, 4.621, -5.910]],
  "species": ["Rb", "Rb", "Pb", "I", "I", "I", "I", "I", "I", "Br"],
  "frac_coords": [[0.250, 0.750, 0.500], [0.750, 0.250, 0.500], [0.000, 0.000, 0.000], [0.234, 0.234, 0.468], [0.234, 0.766, 0.000], [0.264, 0.264, 0.000], [0.736, 0.736, 0.000], [0.766, 0.234, 0.000], [0.766, 0.766, 0.532], [0.500, 0.500, 0.000]],
  "raw_formation_energy_mev_per_atom": -649
}

---

{
  "formula": "Sb2PbIBr",
  "functional": "PBE",
  "state": "relaxed",
  "lattice": [[5.991, 0.000, 0.000], [0.000, 5.991, 0.000], [0.000, 0.000, 6.018]],
  "species": ["Sb", "Sb", "Pb", "I", "Br"],
  "frac_coords": [[0.000, 0.500, 0.000], [0.500, 0.000, 0.000], [0.000, 0.000, 0.000], [0.000, 0.000, 0.500], [0.500, 0.500, 0.500]],
  "relative_energy_ev_per_atom": 0.000,
  "raw_formation_energy_mev_per_atom": 592
}

---

{
  "formula": "Sb2PbIBr",
  "functional": "PBE",
  "state": "relaxed",
  "lattice": [[5.668, 0.000, 0.000], [0.000, 5.668, 0.000], [0.000, 0.000, 5.661]],
  "species": ["Sb", "Sb", "Pb", "I", "Br"],
  "frac_coords": [[0.000, 0.500, 0.000], [0.500, 0.000, 0.000], [0.000, 0.000, 0.500], [0.500, 0.500, 0.500], [0.500, 0.500, 0.000]],
  "relative_energy_ev_per_atom": 0.071,
  "raw_formation_energy_mev_per_atom": 663
}